{"formula": "Nd2Dy9Tl", "functional": "PBE", "state": "relaxed", "e_tot_ha_per_atom": -0.1646, "spacegroup": "No. 123", "total_magnetization_mub_per_fu": 0.01, "cell": [[4.963, 0.000, 0.000], [0.000, 4.963, 0.000], [0.000, 0.000, 15.186]], "species": ["Dy", "Dy", "Dy", "Dy", "Dy", "Dy", "Dy", "Dy", "Dy", "Nd", "Nd", "Tl"], "fractional_positions": [[0.500, 0.000, 0.500], [0.000, 0.500, 0.500], [0.500, 0.500, 0.673], [0.000, 0.500, 0.839], [0.500, 0.000, 0.839], [0.000, 0.500, 0.161], [0.500, 0.500, 0.327], [0.500, 0.500, 0.000], [0.500, 0.000, 0.161], [0.000, 0.000, 0.667], [0.000, 0.000, 0.333], [0.000, 0.000, 0.000]]}

---

{"formula": "SnPd4Au4", "functional": "PBE", "state": "relaxed", "e_tot_ha_per_atom": -0.1613, "spacegroup": "No. 139", "total_magnetization_mub_per_fu": 0.00, "cell": [[-0.409, -2.903, 3.141], [3.142, -5.317, -1.566], [4.740, 0.696, 4.200]], "species": ["Au", "Au", "Au", "Au", "Pd", "Pd", "Pd", "Pd", "Sn"], "fractional_positions": [[0.670, 0.000, 0.661], [0.330, 0.339, 0.000], [0.670, 0.661, 0.000], [0.330, 0.000, 0.339], [0.000, 0.331, 0.669], [0.000, 0.669, 0.331], [0.331, 0.669, 0.669], [0.669, 0.331, 0.331], [0.000, 0.000, 0.000]]}

---

{"formula": "TbSm12Sc6", "functional": "PBE", "state": "relaxed", "spacegroup": "No. 148", "total_magnetization_mub_per_fu": 0.00, "polymorph_energy_kj_per_mol_fu": 66, "cell": [[-2.249, 7.438, 4.506], [-5.924, -0.852, -6.698], [-1.385, -6.911, 5.568]], "species": ["Sm", "Sm", "Sm", "Sm", "Sm", "Sm", "Sm", "Sm", "Sm", "Sm", "Sm", "Sm", "Sc", "Sc", "Sc", "Sc", "Sc", "Sc", "Tb"], "fractional_positions": [[0.134, 0.827, 0.279], [0.195, 0.571, 0.479], [0.429, 0.521, 0.805], [0.866, 0.173, 0.721], [0.805, 0.429, 0.521], [0.521, 0.805, 0.429], [0.173, 0.721, 0.866], [0.571, 0.479, 0.195], [0.279, 0.134, 0.827], [0.479, 0.195, 0.571], [0.721, 0.866, 0.173], [0.827, 0.279, 0.134], [0.073, 0.187, 0.463], [0.187, 0.463, 0.073], [0.813, 0.537, 0.927], [0.927, 0.813, 0.537], [0.537, 0.927, 0.813], [0.463, 0.073, 0.187], [0.000, 0.000, 0.000]]}

---

{"formula": "SrTi2P2", "functional": "PBE", "state": "relaxed", "spacegroup": "No. 139", "total_magnetization_mub_per_fu": 1.85, "polymorph_energy_kj_per_mol_fu": 0, "cell": [[4.745, 0.000, 0.000], [0.000, 4.745, 0.000], [2.372, 2.372, 4.636]], "species": ["P", "P", "Sr", "Ti", "Ti"], "fractional_positions": [[0.750, 0.250, 0.500], [0.250, 0.750, 0.500], [0.000, 0.000, 0.000], [0.339, 0.339, 0.322], [0.661, 0.661, 0.678]]}